The following is a PBE-GGA calculation of PmEu3 after structural relaxation, from the Alexandria database.

POSCAR file:
```
PmEu3
1.0
5.4048 0.0000 0.0000
0.0000 5.4048 0.0000
0.0000 0.0000 5.4048
Pm Eu
1 3
Direct
0.0000 0.0000 0.0000
0.0000 0.5000 0.5000
0.5000 0.0000 0.5000
0.5000 0.5000 0.0000
```

Output
N(E_F): 4.774 states/eV/cell
Energy of formation from the pure elements: 0.3 eV/f.u.
Crystal system: cubic
Polymorph energy (0 for the lowest one): 0.004 eV per atom
DFT total energy: -35.2 eV for the cell shown
Space-group type: Pm-3m